(1)
Below is a relaxed structure of Tb5Sm12Dy, with properties calculated at the PBE-GGA level.

The formation energy from the elements comes out at 0.27 eV/f.u. Its symmetry is C2/m (12). As for the mass density: 7.7 g/cm3. For the final energy, the calculation gives -84.12 eV for the cell shown.

a b c (Å): 10.8083 10.8083 6.2355
angles (deg): 106.57 106.57 60.03
Fractional positions:
Tb 0.0000 0.0000 0.0000
Tb 0.1667 0.1667 0.5001
Tb 0.3334 0.3334 0.0002
Tb 0.6666 0.6666 0.9998
Tb 0.8333 0.8333 0.4999
Sm 0.0005 0.3328 0.0000
Sm 0.1663 0.8337 0.5000
Sm 0.1673 0.4995 0.5002
Sm 0.3328 0.0005 0.0000
Sm 0.3340 0.6660 0.0000
Sm 0.4995 0.1673 0.5002
Sm 0.5005 0.8327 0.4998
Sm 0.6660 0.3340 0.0000
Sm 0.6672 0.9995 0.0000
Sm 0.8327 0.5005 0.4998
Sm 0.8337 0.1663 0.5000
Sm 0.9995 0.6672 0.0000
Dy 0.5000 0.5000 0.5000

(2)
Below is a relaxed structure of Tb3Sm6Dy, with properties calculated at the PBE-GGA level.

The formation energy from the elements comes out at 1.45 eV/f.u. Its symmetry is Cmc2_1 (36). As for the mass density: 7.7 g/cm3. Its offset from the most stable computed form is 20.8 meV/atom. For the final energy, the calculation gives -90.71 eV for the cell shown.

a b c (Å): 11.0607 11.0607 6.3253
angles (deg): 90.00 90.00 120.41
Fractional positions:
Tb 0.1141 0.8859 0.5000
Tb 0.2155 0.4434 0.8854
Tb 0.4434 0.2155 0.3854
Tb 0.5566 0.7845 0.8854
Tb 0.7845 0.5566 0.3854
Tb 0.8859 0.1141 0.0000
Sm 0.0266 0.4457 0.2881
Sm 0.1248 0.2107 0.4702
Sm 0.2107 0.1248 0.9702
Sm 0.2219 0.7781 0.0684
Sm 0.4457 0.0266 0.7881
Sm 0.4610 0.5390 0.3109
Sm 0.5390 0.4610 0.8109
Sm 0.5543 0.9734 0.2881
Sm 0.7781 0.2219 0.5684
Sm 0.7893 0.8752 0.4702
Sm 0.8752 0.7893 0.9702
Sm 0.9734 0.5543 0.7881
Dy 0.3024 0.6976 0.5427
Dy 0.6976 0.3024 0.0427

(3)
Below is a relaxed structure of Tb3Sm5Dy2, with properties calculated at the PBE-GGA level.

The formation energy from the elements comes out at 1.93 eV/f.u. Its symmetry is C2/c (15). As for the mass density: 7.7 g/cm3. Its offset from the most stable computed form is 0.0 meV/atom. For the final energy, the calculation gives -89.51 eV for the cell shown.

a b c (Å): 9.2651 9.2651 9.8560
angles (deg): 108.34 108.34 109.25
Fractional positions:
Tb 0.0199 0.2726 0.0530
Tb 0.2289 0.7711 0.7500
Tb 0.2726 0.0199 0.5530
Tb 0.7274 0.9801 0.4470
Tb 0.7711 0.2289 0.2500
Tb 0.9801 0.7274 0.9470
Sm 0.0207 0.9793 0.7500
Sm 0.1351 0.3866 0.7696
Sm 0.2734 0.7266 0.2500
Sm 0.3866 0.1351 0.2696
Sm 0.4760 0.5240 0.2500
Sm 0.5240 0.4760 0.7500
Sm 0.6134 0.8649 0.7304
Sm 0.7266 0.2734 0.7500
Sm 0.8649 0.6134 0.2304
Sm 0.9793 0.0207 0.2500
Dy 0.2180 0.4684 0.4469
Dy 0.4684 0.2180 0.9469
Dy 0.5316 0.7820 0.0531
Dy 0.7820 0.5316 0.5531

(4)
Below is a relaxed structure of Tb2SmDy6, with properties calculated at the PBE-GGA level.

The formation energy from the elements comes out at 3.20 eV/f.u. Its symmetry is R3m (160). As for the mass density: 8.0 g/cm3. Its offset from the most stable computed form is 156.0 meV/atom. For the final energy, the calculation gives -38.40 eV for the cell shown.

a b c (Å): 7.6381 7.6381 7.6381
angles (deg): 57.63 57.63 57.63
Fractional positions:
Tb 0.0000 0.0000 0.0000
Tb 0.1751 0.1751 0.1751
Sm 0.7361 0.7361 0.7361
Dy 0.0356 0.4676 0.4676
Dy 0.2027 0.6809 0.6809
Dy 0.4676 0.0356 0.4676
Dy 0.4676 0.4676 0.0356
Dy 0.6809 0.2027 0.6809
Dy 0.6809 0.6809 0.2027

(5)
Below is a relaxed structure of Tb8SmDy5, with properties calculated at the PBE-GGA level.

The formation energy from the elements comes out at 3.48 eV/f.u. Its symmetry is I-4 (82). As for the mass density: 8.0 g/cm3. For the final energy, the calculation gives -61.29 eV for the cell shown.

a b c (Å): 8.4410 8.4410 8.4410
angles (deg): 111.38 111.38 105.72
Fractional positions:
Tb 0.0763 0.3292 0.6056
Tb 0.1657 0.4278 0.0872
Tb 0.3405 0.0784 0.9128
Tb 0.5294 0.9237 0.2530
Tb 0.5722 0.6595 0.7379
Tb 0.6708 0.2764 0.7470
Tb 0.7236 0.4706 0.3944
Tb 0.9216 0.8343 0.2621
Sm 0.2500 0.7500 0.5000
Dy 0.0373 0.7174 0.9020
Dy 0.2826 0.1846 0.3199
Dy 0.5000 0.5000 0.0000
Dy 0.8154 0.1352 0.0980
Dy 0.8648 0.9627 0.6801

(6)
Below is a relaxed structure of Tb7SmDy4, with properties calculated at the PBE-GGA level.

The formation energy from the elements comes out at 3.26 eV/f.u. Its symmetry is C2/m (12). As for the mass density: 8.0 g/cm3. Its offset from the most stable computed form is 273.0 meV/atom. For the final energy, the calculation gives -52.28 eV for the cell shown.

a b c (Å): 6.6952 6.6952 12.6575
angles (deg): 114.99 114.99 52.19
Fractional positions:
Tb 0.0000 0.0000 0.0000
Tb 0.1327 0.1327 0.5019
Tb 0.2891 0.2891 0.0777
Tb 0.4397 0.4397 0.6741
Tb 0.5603 0.5603 0.3259
Tb 0.7109 0.7109 0.9223
Tb 0.8673 0.8673 0.4981
Sm 0.5000 0.5000 0.0000
Dy 0.1354 0.1354 0.7754
Dy 0.2527 0.2527 0.3179
Dy 0.7473 0.7473 0.6821
Dy 0.8646 0.8646 0.2246

(7)
Below is a relaxed structure of Tb2Sm5Dy6, with properties calculated at the PBE-GGA level.

The formation energy from the elements comes out at 1.22 eV/f.u. Its symmetry is Pbam (55). As for the mass density: 7.9 g/cm3. For the final energy, the calculation gives -118.49 eV for the cell shown.

a b c (Å): 11.6619 20.4597 3.5893
angles (deg): 90.00 90.00 90.00
Fractional positions:
Tb 0.1705 0.2107 0.0000
Tb 0.3295 0.7107 0.0000
Tb 0.6705 0.2893 0.0000
Tb 0.8295 0.7893 0.0000
Sm 0.0000 0.5000 0.5000
Sm 0.0858 0.7734 0.5000
Sm 0.1989 0.0505 0.5000
Sm 0.3011 0.5505 0.5000
Sm 0.4142 0.2734 0.5000
Sm 0.5000 0.0000 0.5000
Sm 0.5858 0.7266 0.5000
Sm 0.6989 0.4495 0.5000
Sm 0.8011 0.9495 0.5000
Sm 0.9142 0.2266 0.5000
Dy 0.0603 0.9192 0.0000
Dy 0.0811 0.6315 0.0000
Dy 0.1748 0.3634 0.5000
Dy 0.3252 0.8634 0.5000
Dy 0.4189 0.1315 0.0000
Dy 0.4397 0.4192 0.0000
Dy 0.5603 0.5808 0.0000
Dy 0.5811 0.8685 0.0000
Dy 0.6748 0.1366 0.5000
Dy 0.8252 0.6366 0.5000
Dy 0.9189 0.3685 0.0000
Dy 0.9397 0.0808 0.0000

(8)
Below is a relaxed structure of Tb5SmDy7, with properties calculated at the PBE-GGA level.

The formation energy from the elements comes out at 3.24 eV/f.u. Its symmetry is Imm2 (44). As for the mass density: 8.1 g/cm3. For the final energy, the calculation gives -56.84 eV for the cell shown.

a b c (Å): 8.6876 8.6876 8.6876
angles (deg): 134.82 100.47 96.50
Fractional positions:
Tb 0.0000 0.0000 0.0000
Tb 0.2696 0.2310 0.5039
Tb 0.2696 0.7657 0.0386
Tb 0.7271 0.2310 0.9614
Tb 0.7271 0.7657 0.4961
Sm 0.6966 0.1966 0.5000
Dy 0.0011 0.5011 0.5000
Dy 0.0798 0.2490 0.8308
Dy 0.3060 0.8060 0.5000
Dy 0.4183 0.2490 0.1692
Dy 0.4983 0.4983 0.0000
Dy 0.5793 0.7490 0.8303
Dy 0.9187 0.7490 0.1697

(9)
Below is a relaxed structure of TbSm2Dy, with properties calculated at the PBE-GGA level.

The formation energy from the elements comes out at 0.08 eV/f.u. Its symmetry is P4/mmm (123). As for the mass density: 7.9 g/cm3. Its offset from the most stable computed form is 7.2 meV/atom. For the final energy, the calculation gives -18.59 eV for the cell shown.

a b c (Å): 5.0792 5.0792 5.0644
angles (deg): 90.00 90.00 90.00
Fractional positions:
Tb 0.0000 0.0000 0.0000
Sm 0.0000 0.5000 0.5000
Sm 0.5000 0.0000 0.5000
Dy 0.5000 0.5000 0.0000

(10)
Below is a relaxed structure of TbSm7Dy3, with properties calculated at the PBE-GGA level.

The formation energy from the elements comes out at 2.64 eV/f.u. Its symmetry is C2/m (12). As for the mass density: 7.5 g/cm3. Its offset from the most stable computed form is 115.4 meV/atom. For the final energy, the calculation gives -48.83 eV for the cell shown.

a b c (Å): 8.5062 8.5062 5.8690
angles (deg): 110.14 110.14 82.95
Fractional positions:
Tb 0.0000 0.0000 0.0000
Sm 0.0000 0.0000 0.5000
Sm 0.0974 0.5129 0.8055
Sm 0.2908 0.2908 0.2926
Sm 0.4871 0.9026 0.1945
Sm 0.5129 0.0974 0.8055
Sm 0.7092 0.7092 0.7074
Sm 0.9026 0.4871 0.1945
Dy 0.2955 0.7045 0.5000
Dy 0.5000 0.5000 0.0000
Dy 0.7045 0.2955 0.5000

(11)
Below is a relaxed structure of Tb3SmDy5, with properties calculated at the PBE-GGA level.

The formation energy from the elements comes out at 2.69 eV/f.u. Its symmetry is C2/c (15). As for the mass density: 7.9 g/cm3. Its offset from the most stable computed form is 0.0 meV/atom. For the final energy, the calculation gives -77.85 eV for the cell shown.

a b c (Å): 9.6107 9.6107 11.3509
angles (deg): 110.45 110.45 38.48
Fractional positions:
Tb 0.0000 0.0000 0.0000
Tb 0.0000 0.0000 0.5000
Tb 0.0081 0.6520 0.6254
Tb 0.3480 0.9919 0.8746
Tb 0.6520 0.0081 0.1254
Tb 0.9919 0.3480 0.3746
Sm 0.1305 0.8695 0.2500
Sm 0.8695 0.1305 0.7500
Dy 0.1205 0.5387 0.2868
Dy 0.1514 0.5287 0.9864
Dy 0.3966 0.6034 0.7500
Dy 0.4613 0.8795 0.2132
Dy 0.4713 0.8486 0.5136
Dy 0.5287 0.1514 0.4864
Dy 0.5387 0.1205 0.7868
Dy 0.6034 0.3966 0.2500
Dy 0.8486 0.4713 0.0136
Dy 0.8795 0.4613 0.7132

(12)
Below is a relaxed structure of Tb6SmDy3, with properties calculated at the PBE-GGA level.

The formation energy from the elements comes out at 1.48 eV/f.u. Its symmetry is Cmc2_1 (36). As for the mass density: 8.1 g/cm3. Its offset from the most stable computed form is 24.6 meV/atom. For the final energy, the calculation gives -89.65 eV for the cell shown.

a b c (Å): 10.9866 10.9866 6.2020
angles (deg): 90.00 90.00 119.76
Fractional positions:
Tb 0.0447 0.4645 0.0442
Tb 0.0449 0.9551 0.5000
Tb 0.2806 0.7194 0.7688
Tb 0.2897 0.3804 0.8738
Tb 0.3804 0.2897 0.3738
Tb 0.4645 0.0447 0.5442
Tb 0.5355 0.9553 0.0442
Tb 0.6196 0.7103 0.8738
Tb 0.7103 0.6196 0.3738
Tb 0.7194 0.2806 0.2688
Tb 0.9551 0.0449 0.0000
Tb 0.9553 0.5355 0.5442
Sm 0.2040 0.7960 0.2716
Sm 0.7960 0.2040 0.7716
Dy 0.0609 0.2818 0.4516
Dy 0.2818 0.0609 0.9516
Dy 0.3888 0.6112 0.3392
Dy 0.6112 0.3888 0.8392
Dy 0.7182 0.9391 0.4516
Dy 0.9391 0.7182 0.9516

> The highest final energy belongs to which entry?

TbSm2Dy